1.
A relaxed structure of Pm11Tl9Ni4, computed with GGA-PBE.

Lattice parameters (Å, degrees): 13.4365 13.4365 3.7695 90.00 90.00 112.61
Element x y z (fractional)
Pm 0.0000 0.0000 0.0000
Pm 0.0839 0.4178 0.0000
Pm 0.1622 0.8378 0.0000
Pm 0.3129 0.3129 0.0000
Pm 0.3745 0.6255 0.0000
Pm 0.4178 0.0839 0.0000
Pm 0.5822 0.9161 0.0000
Pm 0.6255 0.3745 0.0000
Pm 0.6871 0.6871 0.0000
Pm 0.8378 0.1622 0.0000
Pm 0.9161 0.5822 0.0000
Tl 0.0755 0.2188 0.5000
Tl 0.1562 0.6312 0.5000
Tl 0.2188 0.0755 0.5000
Tl 0.3688 0.8438 0.5000
Tl 0.5000 0.5000 0.5000
Tl 0.6312 0.1562 0.5000
Tl 0.7812 0.9245 0.5000
Tl 0.8438 0.3688 0.5000
Tl 0.9245 0.7812 0.5000
Ni 0.2488 0.4494 0.5000
Ni 0.4494 0.2488 0.5000
Ni 0.5506 0.7512 0.5000
Ni 0.7512 0.5506 0.5000

Values from the calculation:
- ΔH_f (0 K) (meV/atom) = -396.5
- SG = Cmmm, No. 65

***

2.
A relaxed structure of Pm12Tl6Ni, computed with GGA-PBE.

Lattice parameters (Å, degrees): 8.4955 8.4955 8.4955 94.07 94.07 94.07
Element x y z (fractional)
Pm 0.0228 0.9148 0.6856
Pm 0.0852 0.3144 0.9772
Pm 0.1995 0.4271 0.5419
Pm 0.3144 0.9772 0.0852
Pm 0.4271 0.5419 0.1995
Pm 0.4581 0.8005 0.5729
Pm 0.5419 0.1995 0.4271
Pm 0.5729 0.4581 0.8005
Pm 0.6856 0.0228 0.9148
Pm 0.8005 0.5729 0.4581
Pm 0.9148 0.6856 0.0228
Pm 0.9772 0.0852 0.3144
Tl 0.1409 0.7354 0.3434
Tl 0.2646 0.6566 0.8591
Tl 0.3434 0.1409 0.7354
Tl 0.6566 0.8591 0.2646
Tl 0.7354 0.3434 0.1409
Tl 0.8591 0.2646 0.6566
Ni 0.0000 0.0000 0.0000

Values from the calculation:
- ΔH_f (0 K) (meV/atom) = -173.3
- SG = R-3, No. 148